Below is a geometry-optimized ScAlGa2S6 structure, with properties calculated at the GGA-PBE level.

- formation energy without anion corrections (eV per formula unit) = -10.20
- final energy (eV per atom) = -5.109

Cell: 8.0987 8.0987 6.3569 Å, 97.62 97.62 86.10°
Element x y z (fractional)
Sc  0.0938  0.9062  0.7500
Sc  0.9062  0.0938  0.2500
Al  0.2664  0.7336  0.2500
Al  0.7336  0.2664  0.7500
Ga  0.2293  0.4096  0.7055
Ga  0.4096  0.2293  0.2055
Ga  0.5904  0.7707  0.7945
Ga  0.7707  0.5904  0.2945
S  0.0211  0.2100  0.6378
S  0.1255  0.6342  0.9088
S  0.2100  0.0211  0.1378
S  0.2787  0.4592  0.3720
S  0.3658  0.8745  0.5912
S  0.4592  0.2787  0.8720
S  0.5408  0.7213  0.1280
S  0.6342  0.1255  0.4088
S  0.7213  0.5408  0.6280
S  0.7900  0.9789  0.8622
S  0.8745  0.3658  0.0912
S  0.9789  0.7900  0.3622

Below is a geometry-optimized Pr2Al3SnPd4 structure, with properties calculated at the GGA-PBE level.

- Fermi-level density of states (states/eV/f.u.) = 5.8
- final energy (eV per atom) = -5.390
- calculated formation energy (eV per atom) = -0.834

Cell: 4.3874 4.3874 10.5562 Å, 90.00 90.00 90.00°
Element x y z (fractional)
Pr  0.0000  0.5000  0.2459
Pr  0.5000  0.0000  0.7541
Al  0.0000  0.5000  0.8796
Al  0.5000  0.0000  0.1204
Al  0.5000  0.5000  0.5000
Sn  0.0000  0.0000  0.5000
Pd  0.0000  0.0000  0.0000
Pd  0.0000  0.5000  0.6439
Pd  0.5000  0.0000  0.3561
Pd  0.5000  0.5000  0.0000

Below is a geometry-optimized K2BaIr structure, with properties calculated at the GGA-PBE level.

- Fermi-level density of states (states/eV/f.u.) = 2.9
- final energy (eV per atom) = -2.851
- E above lowest polymorph (meV/atom) = 86
- calculated formation energy (eV per atom) = 0.394

Cell: 4.0268 5.8660 16.0565 Å, 90.00 90.00 90.00°
Element x y z (fractional)
K  0.0000  0.0000  0.0000
K  0.0000  0.5000  0.1422
K  0.5000  0.0000  0.6422
K  0.5000  0.5000  0.5000
Ba  0.0000  0.5000  0.8504
Ba  0.5000  0.0000  0.3504
Ir  0.0000  0.0000  0.4761
Ir  0.5000  0.5000  0.9761

Below is a geometry-optimized AlFePt2 structure, with properties calculated at the GGA-PBE level.

- Fermi-level density of states (states/eV/f.u.) = 2.6
- final energy (eV per atom) = -6.624
- calculated formation energy (eV per atom) = -0.553

Cell: 9.1762 2.8173 4.5720 Å, 90.00 101.42 90.00°
Element x y z (fractional)
Al  0.0000  0.0000  0.0000
Al  0.5000  0.5000  0.0000
Fe  0.2503  0.5000  0.3193
Fe  0.7503  0.0000  0.3193
Pt  0.2585  0.0000  0.8277
Pt  0.4960  0.0000  0.4905
Pt  0.7585  0.5000  0.8277
Pt  0.9960  0.5000  0.4905

Below is a geometry-optimized Ga2AgAu6 structure, with properties calculated at the GGA-PBE level.

- Fermi-level density of states (states/eV/f.u.) = 1.3
- final energy (eV per atom) = -3.240
- E above lowest polymorph (meV/atom) = 0
- calculated formation energy (eV per atom) = -0.066

Cell: 3.0240 7.5387 7.5387 Å, 108.94 90.00 90.00°
Element x y z (fractional)
Ga  0.0000  0.1904  0.8096
Ga  0.0000  0.8096  0.1904
Ag  0.5000  0.4605  0.4605
Au  0.0000  0.1787  0.1787
Au  0.0000  0.5475  0.7974
Au  0.0000  0.7974  0.5475
Au  0.5000  0.0976  0.4833
Au  0.5000  0.4833  0.0976
Au  0.5000  0.8998  0.8998

Below is a geometry-optimized CdP2Os structure, with properties calculated at the GGA-PBE level.

- Fermi-level density of states (states/eV/f.u.) = 3.1
- final energy (eV per atom) = -4.777
- E above lowest polymorph (meV/atom) = 964
- calculated formation energy (eV per atom) = 0.964

Cell: 6.3338 6.3338 6.3338 Å, 90.00 90.00 90.00°
Element x y z (fractional)
Cd  0.0000  0.0000  0.0000
Cd  0.0000  0.5000  0.5000
Cd  0.5000  0.0000  0.5000
Cd  0.5000  0.5000  0.0000
P  0.0000  0.0000  0.5000
P  0.0000  0.5000  0.0000
P  0.2500  0.2500  0.7500
P  0.2500  0.7500  0.2500
P  0.5000  0.0000  0.0000
P  0.5000  0.5000  0.5000
P  0.7500  0.2500  0.2500
P  0.7500  0.7500  0.7500
Os  0.2500  0.2500  0.2500
Os  0.2500  0.7500  0.7500
Os  0.7500  0.2500  0.7500
Os  0.7500  0.7500  0.2500